1.
{"formula": "NbSnSe2Br", "functional": "PBE", "state": "relaxed", "dft_energy_ev_per_fu": -23.6, "n_ef_per_ev_fu": 3.7, "total_magnetization_mub_per_atom": 0.00, "lattice": [[5.112, 0.000, 0.000], [0.000, 5.112, 0.000], [0.000, 0.000, 5.137]], "species": ["Nb", "Se", "Se", "Sn", "Br"], "fractional_positions": [[0.000, 0.000, 0.000], [0.000, 0.500, 0.000], [0.500, 0.000, 0.000], [0.500, 0.500, 0.500], [0.000, 0.000, 0.500]]}


2.
{"formula": "SrNbSeBr2", "functional": "PBE", "state": "relaxed", "dft_energy_ev_per_fu": -22.6, "n_ef_per_ev_fu": 3.6, "total_magnetization_mub_per_atom": 0.31, "lattice": [[-1.858, 1.846, 4.610], [4.517, -1.415, 2.388], [1.996, 4.614, -1.043]], "species": ["Sr", "Nb", "Se", "Br", "Br"], "fractional_positions": [[0.500, 0.500, 0.500], [0.000, 0.000, 0.000], [0.000, 0.000, 0.500], [0.000, 0.500, 0.000], [0.500, 0.000, 0.000]]}


3.
{"formula": "SrNbSeBr2", "functional": "PBE", "state": "relaxed", "dft_energy_ev_per_fu": -18.4, "n_ef_per_ev_fu": 4.5, "total_magnetization_mub_per_atom": 0.60, "lattice": [[5.635, 0.000, 0.000], [0.000, 5.635, 0.000], [0.000, 0.000, 6.034]], "species": ["Sr", "Nb", "Br", "Br", "Se"], "fractional_positions": [[0.000, 0.000, 0.000], [0.500, 0.500, 0.500], [0.000, 0.500, 0.000], [0.500, 0.000, 0.000], [0.000, 0.000, 0.500]]}


4.
{"formula": "SrNbSe2Br", "functional": "PBE", "state": "relaxed", "dft_energy_ev_per_fu": -18.5, "n_ef_per_ev_fu": 8.6, "total_magnetization_mub_per_atom": 0.41, "lattice": [[-0.462, -1.160, -5.601], [-5.557, -1.240, 0.715], [-1.310, 5.299, -0.989]], "species": ["Sr", "Nb", "Se", "Se", "Br"], "fractional_positions": [[0.000, 0.000, 0.000], [0.500, 0.500, 0.500], [0.000, 0.500, 0.000], [0.500, 0.000, 0.000], [0.000, 0.000, 0.500]]}


Number 1 is which compound? NbSnSe2Br